Record 1
# Y2CoC2 | the Alexandria database | GGA-PBE | optimized geometry
# energy relative to the lowest polymorph listed for this composition: 0 meV/atom
# formation energy from the elements: -192.2 meV/atom
data_Y2CoC2
_cell_length_a 6.2432
_cell_length_b 5.0379
_cell_length_c 9.7156
_cell_angle_alpha 90.00
_cell_angle_beta 90.00
_cell_angle_gamma 90.00
_symmetry_space_group_name_H-M 'P n m a'
_symmetry_Int_Tables_number 62
_symmetry_space_group_name_Hall '-P 2ac 2n'
loop_
_atom_site_label
_atom_site_type_symbol
_atom_site_fract_x
_atom_site_fract_y
_atom_site_fract_z
Y1 Y 0.0173 0.2500 0.2196
Y2 Y 0.1842 0.2500 0.5544
Co1 Co 0.2322 0.2500 0.8549
C1 C 0.0320 0.7500 0.2387
C2 C 0.1902 0.7500 0.5436

---

Record 2
# YCo4C | the Alexandria database | GGA-PBE | optimized geometry
# formation energy from the elements: -13.0 meV/atom
data_YCo4C
_cell_length_a 3.9420
_cell_length_b 13.2815
_cell_length_c 5.6537
_cell_angle_alpha 90.00
_cell_angle_beta 90.00
_cell_angle_gamma 90.00
_symmetry_space_group_name_H-M 'C m c m'
_symmetry_Int_Tables_number 63
_symmetry_space_group_name_Hall '-C 2c 2'
loop_
_atom_site_label
_atom_site_type_symbol
_atom_site_fract_x
_atom_site_fract_y
_atom_site_fract_z
Y1 Y 0.0000 0.1016 0.2500
Co1 Co 0.0000 0.1194 0.7500
Co2 Co 0.0000 0.2964 0.0244
Co3 Co 0.0000 0.5000 0.0000
C1 C 0.0000 0.4003 0.2500

---

Record 3
# YCo4C2 | the Alexandria database | GGA-PBE | optimized geometry
# formation energy from the elements: -72.7 meV/atom
data_YCo4C2
_cell_length_a 3.4902
_cell_length_b 12.8418
_cell_length_c 3.4730
_cell_angle_alpha 90.00
_cell_angle_beta 90.00
_cell_angle_gamma 90.00
_symmetry_space_group_name_H-M 'C m m m'
_symmetry_Int_Tables_number 65
_symmetry_space_group_name_Hall '-C 2 2'
loop_
_atom_site_label
_atom_site_type_symbol
_atom_site_fract_x
_atom_site_fract_y
_atom_site_fract_z
Y1 Y 0.0000 0.0000 0.0000
Co1 Co 0.0000 0.1771 0.5000
Co2 Co 0.0000 0.3203 0.0000
C1 C 0.0000 0.3827 0.5000

---

Record 4
# Y2CoC2 | the Alexandria database | GGA-PBE | optimized geometry
# energy relative to the lowest polymorph listed for this composition: 1102 meV/atom
# formation energy from the elements: 909.3 meV/atom
data_Y2CoC2
_cell_length_a 7.1867
_cell_length_b 7.1867
_cell_length_c 3.0370
_cell_angle_alpha 90.00
_cell_angle_beta 90.00
_cell_angle_gamma 90.00
_symmetry_space_group_name_H-M 'P 4/m b m'
_symmetry_Int_Tables_number 127
_symmetry_space_group_name_Hall '-P 4 2ab'
loop_
_atom_site_label
_atom_site_type_symbol
_atom_site_fract_x
_atom_site_fract_y
_atom_site_fract_z
Y1 Y 0.1476 0.3524 0.0000
Co1 Co 0.0000 0.0000 0.0000
C1 C 0.1662 0.6662 0.5000

---

no.,size of the total moment (μB/f.u.)
1,0.01
2,2.87
3,0.00
4,1.93